Record 1
Material: SiRh2I
Method: DFT, PBE-GGA
State: optimized geometry

abc: 3.8260 3.8260 18.9059
angles: 90.00 90.00 120.00
Sites, in units of the cell vectors:
I1 0.0000 0.0000 0.3763
I2 0.3333 0.6667 0.0429
I3 0.6667 0.3333 0.7096
Si1 0.0000 0.0000 0.2195
Si2 0.3333 0.6667 0.8862
Si3 0.6667 0.3333 0.5528
Rh1 0.0000 0.0000 0.9469
Rh2 0.3333 0.6667 0.6135
Rh3 0.6667 0.3333 0.2802
Rh4 0.0000 0.0000 0.5151
Rh5 0.3333 0.6667 0.1818
Rh6 0.6667 0.3333 0.8484

Calculated values
- Formation energy (no corrections): -1.12 eV per formula unit
- Uncorrected energy: -0.209 hartree per atom
- ΔE to the lowest computed polymorph: 11 meV per atom
- Space-group type: No. 160
- Total magnetization: 0.000 Bohr magnetons per cell


Record 2
Material: SiRh2I
Method: DFT, PBE-GGA
State: optimized geometry

abc: 8.0648 4.2874 4.2843
angles: 90.00 90.00 90.00
Sites, in units of the cell vectors:
I1 0.5000 0.0000 0.1419
I2 0.5000 0.5000 0.6419
Si1 0.0000 0.0000 0.6341
Si2 0.0000 0.5000 0.1341
Rh1 0.8359 0.0000 0.1340
Rh2 0.1641 0.0000 0.1340
Rh3 0.8359 0.5000 0.6340
Rh4 0.1641 0.5000 0.6340

Calculated values
- Formation energy (no corrections): -0.64 eV per formula unit
- Uncorrected energy: -0.205 hartree per atom
- ΔE to the lowest computed polymorph: 131 meV per atom
- Space-group type: No. 38
- Total magnetization: 0.000 Bohr magnetons per cell


Record 3
Material: SiRh2I
Method: DFT, PBE-GGA
State: optimized geometry

abc: 5.2368 5.2368 7.3885
angles: 69.24 69.24 90.00
Sites, in units of the cell vectors:
I1 0.0000 0.0000 0.0000
I2 0.7500 0.2500 0.5000
Si1 0.5000 0.5000 0.0000
Si2 0.2500 0.7500 0.5000
Rh1 0.5618 0.1250 0.2500
Rh2 0.1882 0.6250 0.2500
Rh3 0.3750 0.4382 0.7500
Rh4 0.8750 0.8118 0.7500

Calculated values
- Formation energy (no corrections): 0.20 eV per formula unit
- Uncorrected energy: -0.197 hartree per atom
- ΔE to the lowest computed polymorph: 340 meV per atom
- Space-group type: No. 122
- Total magnetization: 0.000 Bohr magnetons per cell


Among the records above, which one has the highest formation energy (no corrections)? number 3


Which formula does entry 2 have? SiRh2I